Entry from Alexandria: an optimized crystal structure of PmBiMo2O8 (PBE+U).

Properties
E	-7.165	eV per atom
spin magnetization	2.00	μB/f.u.

The structure in POSCAR format:
```
PmBiMo2O8
1.0
-4.822 -0.022 2.341
0.202 -5.344 0.367
4.820 3.133 3.821
Pm Bi Mo O
1 1 2 8
direct
0.750 0.250 0.500
0.000 0.000 0.000
0.500 0.500 0.000
0.250 0.750 0.500
0.748 0.836 0.167
0.418 0.330 0.167
0.586 0.664 0.663
0.077 0.999 0.663
0.001 0.414 0.337
0.336 0.923 0.337
0.164 0.582 0.833
0.670 0.252 0.833
```